(1)
A plane-wave DFT calculation with GGA-PBE was carried out for crystalline HfTi2SnSb at its relaxed geometry.

Cell lengths 4.9388, 5.5423, 4.9388 Å; angles 90.00, 90.00, 90.00 degrees
Last column: nearest neighbours and their distance in Å.
Positions (direct):
1 Sb 0.0000 0.0000 0.0000  4 Ti 2.47
2 Ti 0.5000 0.0000 0.0000  2 Sb 2.47
3 Ti 0.0000 0.0000 0.5000  2 Sb 2.47
4 Sn 0.0000 0.5000 0.0000  2 Sb 2.77
5 Hf 0.5000 0.5000 0.5000  4 Sn 3.49, 8 Ti 3.71

Calculated values
Energy: -5.799 eV/atom
Raw formation energy: 0.97 eV per atom
Theoretical density: 6.322 Mg/m³


(2)
A plane-wave DFT calculation with GGA-PBE was carried out for crystalline SrCu3Ni at its relaxed geometry.

Cell lengths 4.8685, 5.8772, 6.5165 Å; angles 116.80, 90.00, 90.00 degrees
Last column: nearest neighbours and their distance in Å.
Positions (direct):
1 Cu 0.2500 0.8097 0.6194  6 Cu 2.50-2.75, 2 Ni 2.53
2 Cu 0.2500 0.3614 0.3093  2 Cu 2.43-2.50, 2 Ni 2.49
3 Cu 0.2500 0.9479 0.3093  2 Cu 2.43-2.50, 2 Ni 2.49
4 Cu 0.7500 0.6386 0.6907  2 Cu 2.43-2.50, 2 Ni 2.49
5 Cu 0.7500 0.0521 0.6907  2 Cu 2.43-2.50, 2 Ni 2.49
6 Cu 0.7500 0.1903 0.3806  6 Cu 2.50-2.75, 2 Ni 2.53
7 Sr 0.2500 0.3965 0.7930  8 Cu 3.04-3.11, 4 Ni 3.40
8 Sr 0.7500 0.6035 0.2070  8 Cu 3.04-3.11, 4 Ni 3.40
9 Ni 0.5000 0.0000 0.0000  2 Ni 2.43, 6 Cu 2.49-2.53
10 Ni 0.0000 0.0000 0.0000  2 Ni 2.43, 6 Cu 2.49-2.53

Calculated values
Energy: -3.948 eV/atom
Formation enthalpy at 0 K: 0.0 eV per formula unit
Distance to the lowest polymorph of the same formula: 0 meV/atom
Theoretical density: 6.724 Mg/m³


(3)
A plane-wave DFT calculation with GGA-PBE was carried out for crystalline DyPaNi2 at its relaxed geometry.

Cell lengths 3.4093, 3.4093, 6.7406 Å; angles 90.00, 90.00, 90.00 degrees
Last column: nearest neighbours and their distance in Å.
Positions (direct):
1 Ni 0.0000 0.0000 0.7059  1 Ni 2.78, 4 Pa 2.78
2 Ni 0.0000 0.0000 0.2941  1 Ni 2.78, 4 Pa 2.78
3 Dy 0.5000 0.5000 0.0000  8 Ni 3.12, 2 Pa 3.37, 4 Dy 3.41
4 Pa 0.5000 0.5000 0.5000  8 Ni 2.78

Calculated values
Energy: -6.714 eV/atom
Formation enthalpy at 0 K: -1.2 eV per formula unit
Distance to the lowest polymorph of the same formula: 60 meV/atom
Theoretical density: 10.829 Mg/m³